Entry from the Alexandria database: an optimized crystal structure of Sb5Os3 (GGA-PBE).

As for the crystal system: hexagonal. The symmetry is No. 193. As for the final energy: -6.20 eV/atom. The energy relative to the elements, uncorrected comes out at 4.7 eV/f.u. For the energy above the lowest structure with this stoichiometry, the calculation gives 0.000 eV per atom. For the volume, the calculation gives 20.901 Å³/atom.

Cell: 8.1622 8.1622 5.7961 Å, 90.00 90.00 120.00°
Closest atoms and distances in Å follow each position.
Positions (direct):
Sb 0.2556 0.2556 0.7500  1 Os 2.62
Os 0.0000 0.5762 0.2500  5 Sb 2.62-2.84
Sb 0.0000 0.7444 0.7500  1 Os 2.62
Sb 0.7444 0.7444 0.2500  1 Os 2.62
Sb 0.6667 0.3333 0.0000  6 Os 2.84, 2 Sb 2.90
Sb 0.2556 0.0000 0.2500  1 Os 2.62
Sb 0.0000 0.2556 0.2500  1 Os 2.62
Sb 0.3333 0.6667 0.5000  6 Os 2.84, 2 Sb 2.90
Os 0.4238 0.4238 0.2500  5 Sb 2.62-2.84
Sb 0.6667 0.3333 0.5000  6 Os 2.84, 2 Sb 2.90
Sb 0.7444 0.0000 0.7500  1 Os 2.62
Os 0.5762 0.5762 0.7500  5 Sb 2.62-2.84
Os 0.5762 0.0000 0.2500  5 Sb 2.62-2.84
Os 0.4238 0.0000 0.7500  5 Sb 2.62-2.84
Os 0.0000 0.4238 0.7500  5 Sb 2.62-2.84
Sb 0.3333 0.6667 0.0000  6 Os 2.84, 2 Sb 2.90



Entry from the Alexandria database: an optimized crystal structure of Sb3Os (GGA-PBE).

As for the crystal system: cubic. The symmetry is No. 221. As for the final energy: -4.98 eV/atom. The energy relative to the elements, uncorrected comes out at 3.7 eV/f.u. For the energy above the lowest structure with this stoichiometry, the calculation gives 0.710 eV per atom. For the volume, the calculation gives 35.755 Å³/atom.

Cell: 5.2296 5.2296 5.2296 Å, 90.00 90.00 90.00°
Closest atoms and distances in Å follow each position.
Positions (direct):
Sb 0.0000 0.0000 0.5000  2 Os 2.61
Sb 0.0000 0.5000 0.0000  2 Os 2.61
Sb 0.5000 0.0000 0.0000  2 Os 2.61
Os 0.0000 0.0000 0.0000  6 Sb 2.61



Entry from the Alexandria database: an optimized crystal structure of SbOs5 (GGA-PBE).

As for the crystal system: tetragonal. The symmetry is No. 123. As for the final energy: -9.57 eV/atom. The energy relative to the elements, uncorrected comes out at 2.9 eV/f.u. For the energy above the lowest structure with this stoichiometry, the calculation gives 0.120 eV per atom. For the volume, the calculation gives 15.359 Å³/atom.

Cell: 2.8432 2.8432 11.4000 Å, 90.00 90.00 90.00°
Closest atoms and distances in Å follow each position.
Positions (direct):
Os 0.0000 0.0000 0.5000  12 Os 2.76-2.84
Os 0.0000 0.0000 0.8215  8 Os 2.68-2.84, 4 Sb 2.86
Os 0.5000 0.5000 0.3345  12 Os 2.68-2.84
Os 0.5000 0.5000 0.6655  12 Os 2.68-2.84
Os 0.0000 0.0000 0.1785  8 Os 2.68-2.84, 4 Sb 2.86
Sb 0.5000 0.5000 0.0000  4 Sb 2.84, 8 Os 2.86



Which of these has the highest final energy?
Sb3Os



Which formula does entry 1 have?
Sb5Os3